Lu2PuGe after structural relaxation. Source: Alexandria via LeMat-Bulk, functional PBE-GGA.

Unit cell a=3.485 b=3.485 c=29.756 alpha=90.00 beta=90.00 gamma=120.00
Fractional coordinates of all 12 atoms:
Lu: 0.000 0.000 0.237
Lu: 0.000 0.000 0.763
Lu: 0.333 0.667 0.429
Lu: 0.333 0.667 0.904
Lu: 0.667 0.333 0.096
Lu: 0.667 0.333 0.571
Pu: 0.000 0.000 0.000
Pu: 0.333 0.667 0.667
Pu: 0.667 0.333 0.333
Ge: 0.000 0.000 0.500
Ge: 0.333 0.667 0.167
Ge: 0.667 0.333 0.833

Output
Total DFT energy (no corrections): -7.149 eV per atom
Formation energy from the elements: -152 meV per atom
Spin magnetization: 1.692 μB per atom
Crystal system: trigonal